(1)
# LaTbBiSb PBE relaxed
# * spin magnetization: 0.000 μB/atom
# * N(E_F): 0.61 states/eV/f.u.
# * energy relative to the elements, uncorrected: -1.09 eV per atom
data_LaTbBiSb
_chemical_formula_sum 'La1 Tb1 Bi1 Sb1'
_cell_length_a 4.562
_cell_length_b 4.562
_cell_length_c 7.880
_cell_angle_alpha 73.17
_cell_angle_beta 73.17
_cell_angle_gamma 60.00
_symmetry_space_group_name_H-M 'P 1'
_symmetry_Int_Tables_number 1
loop_
_symmetry_equiv_pos_as_xyz
'x,y,z'
loop_
_atom_site_label
_atom_site_fract_x
_atom_site_fract_y
_atom_site_fract_z
_atom_site_occupancy
Tb1 0.192 0.192 0.423 1
Bi1 0.940 0.940 0.180 1
Sb1 0.448 0.448 0.656 1
La1 0.696 0.696 0.912 1

(2)
# Ag6Te PBE relaxed
# * spin magnetization: 0.084 μB/atom
# * N(E_F): 4.88 states/eV/f.u.
# * energy relative to the elements, uncorrected: 0.77 eV per atom
data_Ag6Te
_chemical_formula_sum 'Ag6 Te1'
_cell_length_a 6.454
_cell_length_b 6.454
_cell_length_c 6.454
_cell_angle_alpha 109.47
_cell_angle_beta 109.47
_cell_angle_gamma 109.47
_symmetry_space_group_name_H-M 'P 1'
_symmetry_Int_Tables_number 1
loop_
_symmetry_equiv_pos_as_xyz
'x,y,z'
loop_
_atom_site_label
_atom_site_fract_x
_atom_site_fract_y
_atom_site_fract_z
_atom_site_occupancy
Te1 0.000 0.000 0.000 1
Ag1 0.500 0.750 0.250 1
Ag2 0.500 0.250 0.750 1
Ag3 0.250 0.750 0.500 1
Ag4 0.750 0.250 0.500 1
Ag5 0.750 0.500 0.250 1
Ag6 0.250 0.500 0.750 1

(3)
# LaZr2Tl PBE relaxed
# * spin magnetization: 0.000 μB/atom
# * ΔE to the lowest computed polymorph: 13.1 kJ/mol of atoms
# * N(E_F): 4.58 states/eV/f.u.
# * formation enthalpy at 0 K: 0.106 eV per atom
data_LaZr2Tl
_chemical_formula_sum 'La1 Zr2 Tl1'
_cell_length_a 5.332
_cell_length_b 5.332
_cell_length_c 3.484
_cell_angle_alpha 90.00
_cell_angle_beta 90.00
_cell_angle_gamma 90.10
_symmetry_space_group_name_H-M 'P 1'
_symmetry_Int_Tables_number 1
loop_
_symmetry_equiv_pos_as_xyz
'x,y,z'
loop_
_atom_site_label
_atom_site_fract_x
_atom_site_fract_y
_atom_site_fract_z
_atom_site_occupancy
Zr1 0.000 0.000 0.000 1
Zr2 0.500 0.500 0.000 1
La1 0.500 0.000 0.500 1
Tl1 0.000 0.500 0.500 1

(4)
# TlVPdN2 PBE relaxed
# * spin magnetization: 0.000 μB/atom
# * N(E_F): 2.99 states/eV/f.u.
# * energy relative to the elements, uncorrected: 0.39 eV per atom
data_TlVPdN2
_chemical_formula_sum 'Tl1 V1 Pd1 N2'
_cell_length_a 3.795
_cell_length_b 5.480
_cell_length_c 3.795
_cell_angle_alpha 90.00
_cell_angle_beta 90.00
_cell_angle_gamma 90.00
_symmetry_space_group_name_H-M 'P 1'
_symmetry_Int_Tables_number 1
loop_
_symmetry_equiv_pos_as_xyz
'x,y,z'
loop_
_atom_site_label
_atom_site_fract_x
_atom_site_fract_y
_atom_site_fract_z
_atom_site_occupancy
N1 0.000 0.000 0.500 1
N2 0.500 0.000 0.000 1
Tl1 0.500 0.500 0.500 1
Pd1 0.000 0.500 0.000 1
V1 0.000 0.000 0.000 1

(5)
# La9SmHo4 PBE relaxed
# * spin magnetization: 0.000 μB/atom
# * N(E_F): 23.63 states/eV/f.u.
# * formation enthalpy at 0 K: 0.140 eV per atom
data_La9SmHo4
_chemical_formula_sum 'La18 Sm2 Ho8'
_cell_length_a 11.505
_cell_length_b 10.051
_cell_length_c 10.051
_cell_angle_alpha 120.00
_cell_angle_beta 90.00
_cell_angle_gamma 90.00
_symmetry_space_group_name_H-M 'P 1'
_symmetry_Int_Tables_number 1
loop_
_symmetry_equiv_pos_as_xyz
'x,y,z'
loop_
_atom_site_label
_atom_site_fract_x
_atom_site_fract_y
_atom_site_fract_z
_atom_site_occupancy
Ho1 0.750 0.891 0.781 1
Ho2 0.250 0.781 0.891 1
Ho3 0.250 0.109 0.219 1
Ho4 0.250 0.109 0.891 1
Ho5 0.750 0.219 0.109 1
Ho6 0.000 0.000 0.000 1
Ho7 0.500 0.000 0.000 1
Ho8 0.750 0.891 0.109 1
La1 0.750 0.920 0.460 1
La2 0.970 0.587 0.793 1
La3 0.470 0.793 0.587 1
La4 0.750 0.540 0.080 1
La5 0.250 0.460 0.920 1
La6 0.970 0.207 0.413 1
La7 0.530 0.207 0.413 1
La8 0.250 0.080 0.540 1
La9 0.030 0.793 0.207 1
La10 0.030 0.793 0.587 1
La11 0.470 0.793 0.207 1
La12 0.250 0.460 0.540 1
La13 0.530 0.587 0.793 1
La14 0.030 0.413 0.207 1
La15 0.530 0.207 0.793 1
La16 0.470 0.413 0.207 1
La17 0.970 0.207 0.793 1
La18 0.750 0.540 0.460 1
Sm1 0.750 0.333 0.667 1
Sm2 0.250 0.667 0.333 1

(6)
# TaHgBr2 PBE relaxed
# * spin magnetization: 0.331 μB/atom
# * ΔE to the lowest computed polymorph: 36.4 kJ/mol of atoms
# * N(E_F): 2.24 states/eV/f.u.
# * energy relative to the elements, uncorrected: 0.11 eV per atom
data_TaHgBr2
_chemical_formula_sum 'Ta1 Hg1 Br2'
_cell_length_a 7.728
_cell_length_b 7.728
_cell_length_c 7.728
_cell_angle_alpha 156.11
_cell_angle_beta 143.33
_cell_angle_gamma 44.24
_symmetry_space_group_name_H-M 'P 1'
_symmetry_Int_Tables_number 1
loop_
_symmetry_equiv_pos_as_xyz
'x,y,z'
loop_
_atom_site_label
_atom_site_fract_x
_atom_site_fract_y
_atom_site_fract_z
_atom_site_occupancy
Ta1 0.238 0.738 0.500 1
Hg1 0.414 0.414 0.000 1
Br1 0.759 0.259 0.500 1
Br2 0.090 0.090 0.000 1

(7)
# TbCe2HoIn4 PBE relaxed
# * spin magnetization: 0.239 μB/atom
# * N(E_F): 14.96 states/eV/f.u.
# * formation enthalpy at 0 K: -0.399 eV per atom
data_TbCe2HoIn4
_chemical_formula_sum 'Tb1 Ce2 Ho1 In4'
_cell_length_a 5.390
_cell_length_b 5.390
_cell_length_c 9.347
_cell_angle_alpha 73.24
_cell_angle_beta 73.24
_cell_angle_gamma 60.00
_symmetry_space_group_name_H-M 'P 1'
_symmetry_Int_Tables_number 1
loop_
_symmetry_equiv_pos_as_xyz
'x,y,z'
loop_
_atom_site_label
_atom_site_fract_x
_atom_site_fract_y
_atom_site_fract_z
_atom_site_occupancy
In1 0.625 0.625 0.126 1
In2 0.875 0.875 0.376 1
In3 0.375 0.375 0.874 1
In4 0.125 0.125 0.624 1
Ce1 0.250 0.250 0.251 1
Ce2 0.750 0.750 0.749 1
Tb1 0.000 0.000 0.000 1
Ho1 0.500 0.500 0.500 1

(8)
# FeAsRh2 PBE relaxed
# * spin magnetization: 0.902 μB/atom
# * N(E_F): 3.88 states/eV/f.u.
# * formation enthalpy at 0 K: -0.157 eV per atom
data_FeAsRh2
_chemical_formula_sum 'Fe1 As1 Rh2'
_cell_length_a 4.576
_cell_length_b 4.576
_cell_length_c 4.576
_cell_angle_alpha 131.15
_cell_angle_beta 127.01
_cell_angle_gamma 74.93
_symmetry_space_group_name_H-M 'P 1'
_symmetry_Int_Tables_number 1
loop_
_symmetry_equiv_pos_as_xyz
'x,y,z'
loop_
_atom_site_label
_atom_site_fract_x
_atom_site_fract_y
_atom_site_fract_z
_atom_site_occupancy
As1 0.750 0.250 0.500 1
Fe1 0.250 0.750 0.500 1
Rh1 0.516 0.516 0.000 1
Rh2 0.984 0.984 0.000 1

(9)
# AcGa3Ir3 PBE relaxed
# * spin magnetization: 0.000 μB/atom
# * N(E_F): 4.94 states/eV/f.u.
# * formation enthalpy at 0 K: -0.183 eV per atom
data_AcGa3Ir3
_chemical_formula_sum 'Ac2 Ga6 Ir6'
_cell_length_a 6.814
_cell_length_b 6.814
_cell_length_c 6.814
_cell_angle_alpha 90.00
_cell_angle_beta 90.00
_cell_angle_gamma 90.00
_symmetry_space_group_name_H-M 'P 1'
_symmetry_Int_Tables_number 1
loop_
_symmetry_equiv_pos_as_xyz
'x,y,z'
loop_
_atom_site_label
_atom_site_fract_x
_atom_site_fract_y
_atom_site_fract_z
_atom_site_occupancy
Ga1 0.250 0.500 0.000 1
Ga2 0.000 0.250 0.500 1
Ga3 0.500 0.000 0.250 1
Ga4 0.000 0.750 0.500 1
Ga5 0.500 0.000 0.750 1
Ga6 0.750 0.500 0.000 1
Ir1 0.500 0.250 0.000 1
Ir2 0.500 0.750 0.000 1
Ir3 0.750 0.000 0.500 1
Ir4 0.250 0.000 0.500 1
Ir5 0.000 0.500 0.750 1
Ir6 0.000 0.500 0.250 1
Ac1 0.500 0.500 0.500 1
Ac2 0.000 0.000 0.000 1

(10)
# Na3GaRu PBE relaxed
# * spin magnetization: 0.450 μB/atom
# * ΔE to the lowest computed polymorph: 10.7 kJ/mol of atoms
# * N(E_F): 3.94 states/eV/f.u.
# * formation enthalpy at 0 K: 1.163 eV per atom
data_Na3GaRu
_chemical_formula_sum 'Na3 Ga1 Ru1'
_cell_length_a 5.417
_cell_length_b 5.417
_cell_length_c 5.417
_cell_angle_alpha 90.00
_cell_angle_beta 90.00
_cell_angle_gamma 90.00
_symmetry_space_group_name_H-M 'P 1'
_symmetry_Int_Tables_number 1
loop_
_symmetry_equiv_pos_as_xyz
'x,y,z'
loop_
_atom_site_label
_atom_site_fract_x
_atom_site_fract_y
_atom_site_fract_z
_atom_site_occupancy
Na1 0.500 0.000 0.000 1
Na2 0.000 0.500 0.000 1
Na3 0.000 0.000 0.500 1
Ga1 0.000 0.000 0.000 1
Ru1 0.500 0.500 0.500 1

(11)
# SiAg2H PBE relaxed
# * spin magnetization: 0.000 μB/atom
# * ΔE to the lowest computed polymorph: 21.3 kJ/mol of atoms
# * N(E_F): 1.88 states/eV/f.u.
data_SiAg2H
_chemical_formula_sum 'Si1 Ag2 H1'
_cell_length_a 4.338
_cell_length_b 4.338
_cell_length_c 4.338
_cell_angle_alpha 60.00
_cell_angle_beta 60.00
_cell_angle_gamma 60.00
_symmetry_space_group_name_H-M 'P 1'
_symmetry_Int_Tables_number 1
loop_
_symmetry_equiv_pos_as_xyz
'x,y,z'
loop_
_atom_site_label
_atom_site_fract_x
_atom_site_fract_y
_atom_site_fract_z
_atom_site_occupancy
H1 0.000 0.000 0.000 1
Ag1 0.750 0.750 0.750 1
Ag2 0.250 0.250 0.250 1
Si1 0.500 0.500 0.500 1

(12)
# Nd6AsS5 PBE relaxed
# * spin magnetization: 0.000 μB/atom
# * N(E_F): 6.07 states/eV/f.u.
# * energy relative to the elements, uncorrected: -1.95 eV per atom
data_Nd6AsS5
_chemical_formula_sum 'Nd6 As1 S5'
_cell_length_a 7.108
_cell_length_b 7.108
_cell_length_c 7.123
_cell_angle_alpha 99.52
_cell_angle_beta 99.52
_cell_angle_gamma 120.07
_symmetry_space_group_name_H-M 'P 1'
_symmetry_Int_Tables_number 1
loop_
_symmetry_equiv_pos_as_xyz
'x,y,z'
loop_
_atom_site_label
_atom_site_fract_x
_atom_site_fract_y
_atom_site_fract_z
_atom_site_occupancy
Nd1 0.748 0.748 0.251 1
Nd2 0.580 0.915 0.747 1
Nd3 0.420 0.085 0.253 1
Nd4 0.085 0.420 0.253 1
Nd5 0.252 0.252 0.749 1
Nd6 0.915 0.580 0.747 1
S1 0.667 0.333 0.000 1
S2 0.165 0.835 0.500 1
S3 0.835 0.165 0.500 1
S4 0.500 0.500 0.500 1
S5 0.333 0.667 0.000 1
As1 0.000 0.000 0.000 1

Q: The lowest N(E_F) belongs to which entry?
A: LaTbBiSb